1.
{
  "formula": "Ba2Na6Sr",
  "functional": "PBE-GGA",
  "state": "optimized geometry",
  "dft_energy_ev_per_atom": -1.391,
  "rho_g_cm3": 1.92,
  "crystal_system": "cubic",
  "spacegroup": "No. 225",
  "formation_enthalpy_0k_ev_per_atom": 0.10,
  "cell": [[0.000, 6.004, 6.004], [6.004, 0.000, 6.004], [6.004, 6.004, 0.000]],
  "species": ["Ba", "Ba", "Na", "Na", "Na", "Na", "Na", "Na", "Sr"],
  "fractional_positions": [[0.250, 0.250, 0.250], [0.750, 0.750, 0.750], [0.204, 0.204, 0.796], [0.204, 0.796, 0.204], [0.204, 0.796, 0.796], [0.796, 0.204, 0.204], [0.796, 0.204, 0.796], [0.796, 0.796, 0.204], [0.500, 0.500, 0.500]]
}

2.
{
  "formula": "HRhS2",
  "functional": "PBE-GGA",
  "state": "optimized geometry",
  "dft_energy_ev_per_atom": -4.641,
  "rho_g_cm3": 4.44,
  "crystal_system": "trigonal",
  "spacegroup": "No. 156",
  "cell": [[3.195, 0.000, 0.000], [-1.598, 2.767, 0.000], [0.000, 0.000, 7.101]],
  "species": ["H", "Rh", "S", "S"],
  "fractional_positions": [[0.000, 0.000, 0.000], [0.333, 0.667, 0.639], [0.333, 0.667, 0.972], [0.667, 0.333, 0.456]]
}

3.
{
  "formula": "CaTmGaPt",
  "functional": "PBE-GGA",
  "state": "optimized geometry",
  "dft_energy_ev_per_atom": -4.659,
  "rho_g_cm3": 9.06,
  "crystal_system": "cubic",
  "spacegroup": "No. 216",
  "formation_enthalpy_0k_ev_per_atom": -0.77,
  "cell": [[7.031, 0.000, 0.000], [0.000, 7.031, 0.000], [0.000, 0.000, 7.031]],
  "species": ["Ca", "Ca", "Ca", "Ca", "Tm", "Tm", "Tm", "Tm", "Ga", "Ga", "Ga", "Ga", "Pt", "Pt", "Pt", "Pt"],
  "fractional_positions": [[0.000, 0.000, 0.000], [0.000, 0.500, 0.500], [0.500, 0.000, 0.500], [0.500, 0.500, 0.000], [0.000, 0.000, 0.500], [0.000, 0.500, 0.000], [0.500, 0.000, 0.000], [0.500, 0.500, 0.500], [0.250, 0.250, 0.250], [0.250, 0.750, 0.750], [0.750, 0.250, 0.750], [0.750, 0.750, 0.250], [0.250, 0.250, 0.750], [0.250, 0.750, 0.250], [0.750, 0.250, 0.250], [0.750, 0.750, 0.750]]
}

4.
{
  "formula": "ZrCu2Ag",
  "functional": "PBE-GGA",
  "state": "optimized geometry",
  "dft_energy_ev_per_atom": -4.858,
  "rho_g_cm3": 8.36,
  "crystal_system": "monoclinic",
  "spacegroup": "No. 8",
  "formation_enthalpy_0k_ev_per_atom": 0.04,
  "cell": [[9.944, 0.000, 0.000], [0.000, 2.937, 0.000], [-1.666, 0.000, 4.436]],
  "species": ["Zr", "Zr", "Cu", "Cu", "Cu", "Cu", "Ag", "Ag"],
  "fractional_positions": [[0.000, 0.000, 0.000], [0.500, 0.500, 0.000], [0.259, 0.500, 0.219], [0.465, 0.000, 0.478], [0.759, 0.000, 0.219], [0.965, 0.500, 0.478], [0.216, 0.000, 0.683], [0.716, 0.500, 0.683]]
}

5.
{
  "formula": "LaTe",
  "functional": "PBE-GGA",
  "state": "optimized geometry",
  "e_form_raw_ev_per_atom": -1.49,
  "dft_energy_ev_per_atom": -5.527,
  "rho_g_cm3": 6.43,
  "crystal_system": "hexagonal",
  "spacegroup": "No. 187",
  "cell": [[4.323, 0.000, 0.000], [-2.162, 3.744, 0.000], [0.000, 0.000, 4.251]],
  "species": ["La", "Te"],
  "fractional_positions": [[0.000, 0.000, 0.000], [0.333, 0.667, 0.500]]
}

N(E_F) per entry: 1.002 0.688 0.329 0.540 0.992 states/eV/atom